Record 1
# LiBi12Pt4

LiBi12Pt4 after structural relaxation (GGA-PBE, the Alexandria database).

Crystal system: cubic
Total energy in eV/cell: -75.817

Lattice parameters (Å, degrees): 8.662 8.662 8.662 109.47 109.47 109.47
Sites, in units of the cell vectors:
Bi: 0.663 0.506 0.842
Bi: 0.494 0.158 0.337
Bi: 0.179 0.842 0.337
Bi: 0.663 0.821 0.158
Bi: 0.842 0.663 0.506
Bi: 0.158 0.337 0.494
Bi: 0.506 0.842 0.663
Pt: 0.000 0.000 0.500
Pt: 0.500 0.000 0.000
Bi: 0.337 0.179 0.842
Pt: 0.000 0.500 0.000
Bi: 0.842 0.337 0.179
Li: 0.000 0.000 0.000
Bi: 0.337 0.494 0.158
Bi: 0.158 0.663 0.821
Pt: 0.500 0.500 0.500
Bi: 0.821 0.158 0.663

***

Record 2
# LiBi2Pt

LiBi2Pt after structural relaxation (GGA-PBE, the Alexandria database).

Crystal system: monoclinic
Total energy in eV/cell: -34.288

Lattice parameters (Å, degrees): 4.266 7.146 6.728 112.50 90.00 90.00
Sites, in units of the cell vectors:
Li: 0.750 0.944 0.345
Pt: 0.250 0.200 0.316
Li: 0.250 0.056 0.655
Pt: 0.750 0.800 0.684
Bi: 0.750 0.372 0.619
Bi: 0.250 0.628 0.381
Bi: 0.750 0.200 0.026
Bi: 0.250 0.800 0.974

***

Record 3
# LiBiPt2

LiBiPt2 after structural relaxation (GGA-PBE, the Alexandria database).

Crystal system: tetragonal
Total energy in eV/cell: -36.785

Lattice parameters (Å, degrees): 4.035 4.035 9.698 77.99 77.99 90.00
Sites, in units of the cell vectors:
Bi: 0.750 0.250 0.500
Li: 0.250 0.750 0.500
Pt: 0.875 0.855 0.750
Pt: 0.375 0.395 0.750
Pt: 0.145 0.625 0.250
Bi: 0.000 0.000 0.000
Li: 0.500 0.500 0.000
Pt: 0.605 0.125 0.250

***

Record 4
# Li2BiPt

Li2BiPt after structural relaxation (GGA-PBE, the Alexandria database).

Crystal system: tetragonal
Total energy in eV/cell: -15.377

Lattice parameters (Å, degrees): 3.440 3.440 5.887 90.00 90.00 90.00
Sites, in units of the cell vectors:
Pt: 0.500 0.500 0.500
Bi: 0.500 0.500 0.000
Li: 0.000 0.000 0.705
Li: 0.000 0.000 0.295

***

Record 5
# LiBiPt2

LiBiPt2 after structural relaxation (GGA-PBE, the Alexandria database).

Crystal system: tetragonal
Total energy in eV/cell: -19.362

Lattice parameters (Å, degrees): 4.179 4.179 4.994 114.72 114.72 90.03
Sites, in units of the cell vectors:
Bi: 0.500 0.000 0.000
Pt: 0.250 0.250 0.500
Li: 0.000 0.500 0.000
Pt: 0.750 0.750 0.500

***

Record 6
# LiBi3Pt

LiBi3Pt after structural relaxation (GGA-PBE, the Alexandria database).

Crystal system: cubic
Distance to the lowest polymorph of the same formula in meV per atom: 0.0
Total energy in eV/cell: -18.658

Lattice parameters (Å, degrees): 5.509 5.509 5.509 90.00 90.00 90.00
Sites, in units of the cell vectors:
Pt: 0.000 0.000 0.000
Li: 0.500 0.500 0.500
Bi: 0.500 0.000 0.000
Bi: 0.000 0.000 0.500
Bi: 0.000 0.500 0.000

***

Record 7
# LiBiPt2

LiBiPt2 after structural relaxation (GGA-PBE, the Alexandria database).

Crystal system: tetragonal
Total energy in eV/cell: -19.307

Lattice parameters (Å, degrees): 4.136 4.109 4.109 90.00 90.00 90.00
Sites, in units of the cell vectors:
Pt: 0.000 0.500 0.000
Li: 0.500 0.000 0.000
Bi: 0.500 0.500 0.500
Pt: 0.000 0.000 0.500

***

Record 8
# LiBiPt

LiBiPt after structural relaxation (GGA-PBE, the Alexandria database).

Crystal system: orthorhombic
Distance to the lowest polymorph of the same formula in meV per atom: 8.3
Total energy in eV/cell: -52.571

Lattice parameters (Å, degrees): 4.417 6.265 9.041 90.00 90.00 90.00
Sites, in units of the cell vectors:
Bi: 0.750 0.305 0.616
Bi: 0.750 0.195 0.116
Pt: 0.250 0.035 0.604
Li: 0.750 0.788 0.657
Pt: 0.250 0.465 0.104
Li: 0.250 0.212 0.343
Bi: 0.250 0.805 0.884
Li: 0.750 0.712 0.157
Bi: 0.250 0.695 0.384
Li: 0.250 0.288 0.843
Pt: 0.750 0.965 0.396
Pt: 0.750 0.535 0.896

***

Look up the total energy of the fifth one.
-19.362 eV/cell

***

Which of these has the highest total energy?
Li2BiPt